BaCaAg4O8 | PBE-GGA | optimized geometry

Values from the calculation:
total moment = 0.000 μB per atom
Fermi-level density of states = 8.97 states/eV/f.u.
formation energy from raw total energies = -699 kJ/mol of formula units
volume = 231 Å³ per cell
SG = P-31m (162)

Cell and atoms, written as POSCAR:
```
BaCaAg4O8
1.0
-5.666 -0.401 -1.454
1.740 -1.389 5.424
-1.095 7.364 2.238
O Ca Ag Ba
8 1 4 1
direct
0.294 0.294 0.706
0.000 0.294 0.294
0.706 0.706 0.294
0.000 0.706 0.706
0.706 0.000 0.706
0.667 0.333 0.000
0.333 0.667 0.000
0.294 0.000 0.294
0.000 0.000 0.500
0.333 0.667 0.737
0.667 0.333 0.263
0.667 0.333 0.737
0.333 0.667 0.263
0.000 0.000 0.000
```

DyMnCl | PBE-GGA | optimized geometry

Values from the calculation:
total moment = 0.000 μB per atom
Fermi-level density of states = 0.93 states/eV/f.u.
formation energy from raw total energies = -313 kJ/mol of formula units
volume = 141 Å³ per cell
SG = P-1 (2)

Cell and atoms, written as POSCAR:
```
DyMnCl
1.0
-3.581 -1.028 0.577
2.070 -1.753 -2.618
5.096 -6.333 8.357
Cl Mn Dy
2 2 2
direct
0.444 0.716 0.162
0.556 0.284 0.838
0.672 0.836 0.508
0.328 0.164 0.492
0.878 0.436 0.315
0.122 0.564 0.685
```

La3Cd3Rh | PBE-GGA | optimized geometry

Values from the calculation:
total moment = 0.000 μB per atom
Fermi-level density of states = 5.87 states/eV/f.u.
ΔE_f = -472.4 meV per atom
volume = 795 Å³ per cell
SG = Fd-3m (227)

Cell and atoms, written as POSCAR:
```
La3Cd3Rh
1.0
-4.099 8.913 -3.449
-9.477 0.051 -4.282
-7.970 4.360 5.062
Cd Rh La
12 4 12
direct
0.739 0.420 0.420
0.511 0.830 0.830
0.830 0.511 0.830
0.625 0.625 0.125
0.625 0.125 0.625
0.420 0.420 0.420
0.830 0.830 0.511
0.125 0.625 0.625
0.420 0.420 0.739
0.625 0.625 0.625
0.830 0.830 0.830
0.420 0.739 0.420
0.125 0.625 0.125
0.125 0.125 0.125
0.625 0.125 0.125
0.125 0.125 0.625
0.045 0.045 0.455
0.795 0.205 0.795
0.455 0.455 0.045
0.205 0.795 0.205
0.205 0.795 0.795
0.045 0.455 0.455
0.795 0.795 0.205
0.795 0.205 0.205
0.455 0.045 0.045
0.205 0.205 0.795
0.045 0.455 0.045
0.455 0.045 0.455
```

ZnCdNO2 | PBE-GGA | optimized geometry

Values from the calculation:
total moment = 0.371 μB per atom
Fermi-level density of states = 1.46 states/eV/f.u.
formation energy from raw total energies = 454 kJ/mol of formula units
volume = 73 Å³ per cell
SG = P4/mmm (123)

Cell and atoms, written as POSCAR:
```
ZnCdNO2
1.0
-1.342 -3.880 0.900
0.610 -1.139 -4.000
3.891 -1.134 0.916
N O Zn Cd
1 2 1 1
direct
0.000 0.000 0.500
0.500 0.000 0.000
0.000 0.500 0.000
0.500 0.500 0.500
0.000 0.000 0.000
```